PBE K2SrCeS4, relaxed; magnetic moment = 0.0 μB per cell; density = 3.14 Mg/m³; formation energy from raw total energies = -1735 meV per atom; symmetry = P2/m (10)
1.0
-0.5254 -3.0691 2.8969
3.6727 -4.6957 -4.3086
5.0662 3.5216 4.6497
S Sr Ce K
4 1 1 2
direct
0.5000 0.2151 0.2033
0.0000 0.7628 0.2068
0.0000 0.2372 0.7932
0.5000 0.7849 0.7967
0.5000 0.5000 0.0000
0.0000 0.0000 0.0000
0.5000 0.0000 0.5000
0.0000 0.5000 0.5000